A relaxed structure of ZrAsSeCl2, computed with GGA-PBE.

Computed properties:
Formation energy (no corrections): -0.5155 eV/atom
DOS(E_F): 0.35 states/eV/atom

The structure in CIF format:
```
data_ZrAsSeCl2
_chemical_formula_sum 'Zr1 As1 Se1 Cl2'
_symmetry_space_group_name_H-M 'P 4/m m m'
_symmetry_Int_Tables_number 123
_symmetry_space_group_name_Hall '-P 4 2'
_cell_length_a 5.055
_cell_length_b 5.055
_cell_length_c 5.324
_cell_angle_alpha 90.00
_cell_angle_beta 90.00
_cell_angle_gamma 90.00
loop_
_atom_site_label
_atom_site_fract_x
_atom_site_fract_y
_atom_site_fract_z
_atom_site_occupancy
Zr1 0.000 0.000 0.000 1
As1 0.500 0.500 0.500 1
Se1 0.000 0.000 0.500 1
Cl1 0.000 0.500 0.000 1
```